A relaxed structure of MgInRh. Source: Alexandria via LeMat-Bulk, functional GGA-PBE.

Unit cell a=5.2475 b=5.2475 c=5.2475 alpha=144.77 beta=140.21 gamma=54.18
Positions (direct):
Mg  0.3170  0.3170  0.0000
Rh  0.6733  0.6733  0.0000
In  0.0097  0.0097  0.0000

Calculated values
total DFT energy (no corrections) = -12.83 eV for the cell shown
volume = 17.7 A^3/atom
formation energy = -0.383 eV per atom
space-group type = Imm2



A relaxed structure of YHg. Source: Alexandria via LeMat-Bulk, functional GGA-PBE.

Unit cell a=8.4220 b=8.4220 c=5.5506 alpha=90.00 beta=90.00 gamma=120.00
Positions (direct):
Y  0.7922  0.0916  0.2500
Y  0.7006  0.7922  0.7500
Y  0.9084  0.7006  0.2500
Y  0.2078  0.9084  0.7500
Y  0.2994  0.2078  0.2500
Y  0.0916  0.2994  0.7500
Hg  0.1120  0.4798  0.2500
Hg  0.6322  0.1120  0.7500
Hg  0.5202  0.6322  0.2500
Hg  0.8880  0.5202  0.7500
Hg  0.3678  0.8880  0.2500
Hg  0.4798  0.3678  0.7500

Calculated values
total DFT energy (no corrections) = -44.06 eV for the cell shown
volume = 28.4 A^3/atom
formation energy = -0.289 eV per atom
space-group type = P6_3/m